Here is crystalline Er2ZrGa at its relaxed geometry from the Alexandria database. Energies are from PBE-GGA.

energy relative to the elements: -157 meV per atom

a b c (Å): 10.0344 10.0344 10.0344
angles (deg): 19.84 19.84 19.84
Closest atoms and distances in Å follow each position.
Positions (direct):
Er: 0.0000 0.0000 0.0000  3 Ga 3.01, 3 Zr 3.32
Er: 0.1797 0.1797 0.1797  3 Ga 3.03, 3 Zr 3.32
Zr: 0.7566 0.7566 0.7566  6 Er 3.32, 6 Zr 3.46
Ga: 0.5901 0.5901 0.5901  6 Er 3.01-3.03



Here is crystalline K2P2O5 at its relaxed geometry from the Alexandria database. Energies are from PBE-GGA.

raw total energy: -5.8090 eV per atom

a b c (Å): 6.0014 6.0014 6.1782
angles (deg): 103.27 103.27 40.02
Closest atoms and distances in Å follow each position.
Positions (direct):
K: 0.0967 0.0967 0.3382  6 O 2.76-3.01
K: 0.9033 0.9033 0.6618  6 O 2.76-3.01
P: 0.3431 0.3431 0.0863  2 O 1.53-1.68
P: 0.6569 0.6569 0.9137  2 O 1.53-1.68
O: 0.1926 0.1926 0.9676  1 P 1.68
O: 0.3640 0.3640 0.3404  1 P 1.53
O: 0.5000 0.5000 0.0000  2 P 1.97
O: 0.6360 0.6360 0.6596  1 P 1.53
O: 0.8074 0.8074 0.0324  1 P 1.68



Here is crystalline Pm3Nd4Tm8 at its relaxed geometry from the Alexandria database. Energies are from PBE-GGA.

energy relative to the elements: 364 meV per atom

a b c (Å): 9.2902 9.2902 6.7434
angles (deg): 111.24 111.24 87.61
Closest atoms and distances in Å follow each position.
Positions (direct):
Pm: 0.0000 0.0000 0.0000  6 Tm 3.14-3.21
Pm: 0.0000 0.5000 0.5000  4 Tm 3.22-3.36, 2 Nd 3.37
Pm: 0.5000 0.0000 0.5000  4 Tm 3.22-3.36, 2 Nd 3.37
Nd: 0.0000 0.5000 0.0000  4 Tm 3.22-3.35, 2 Pm 3.37
Nd: 0.5000 0.0000 0.0000  4 Tm 3.22-3.35, 2 Pm 3.37
Nd: 0.5000 0.5000 0.0000  6 Tm 3.29-3.51, 2 Nd 3.37
Nd: 0.5000 0.5000 0.5000  2 Nd 3.37, 4 Tm 3.57-3.58
Tm: 0.1380 0.8620 0.5000  7 Tm 3.55-3.64, 4 Pm 3.65-3.81, 2 Nd 3.65
Tm: 0.2317 0.2317 0.4920  3 Pm 3.21-3.22, 2 Tm 3.23-3.51, 2 Nd 3.51-3.57
Tm: 0.2316 0.2316 0.9706  1 Pm 3.21, 4 Nd 3.22-3.58, 2 Tm 3.23-3.51
Tm: 0.2440 0.7560 0.0000  3 Pm 3.14-3.36, 3 Nd 3.29-3.35
Tm: 0.7560 0.2440 0.0000  3 Pm 3.14-3.36, 3 Nd 3.29-3.35
Tm: 0.7684 0.7684 0.0294  1 Pm 3.21, 4 Nd 3.22-3.58, 2 Tm 3.23-3.51
Tm: 0.7683 0.7683 0.5080  3 Pm 3.21-3.22, 2 Tm 3.23-3.51, 2 Nd 3.51-3.57
Tm: 0.8620 0.1380 0.5000  7 Tm 3.55-3.64, 4 Pm 3.65-3.81, 2 Nd 3.65



Here is crystalline Au2CCl at its relaxed geometry from the Alexandria database. Energies are from PBE-GGA.

raw total energy: -2.6637 eV per atom

a b c (Å): 4.5282 4.5282 4.5282
angles (deg): 60.00 60.00 60.00
Closest atoms and distances in Å follow each position.
Positions (direct):
Au: 0.2500 0.2500 0.2500  4 Cl 2.77, 4 C 2.77
Au: 0.7500 0.7500 0.7500  4 Cl 2.77, 4 C 2.77
C: 0.0000 0.0000 0.0000  8 Au 2.77
Cl: 0.5000 0.5000 0.5000  8 Au 2.77